No. 1
Entry from Alexandria: an optimized crystal structure of RbBaB2H8 (PBE).

Computed properties:
Symmetry: R-3m

Unit cell a=8.426 b=8.426 c=8.426 alpha=32.25 beta=32.25 gamma=32.25
Sites, in units of the cell vectors:
1 Rb 0.000 0.000 0.000
2 Ba 0.500 0.500 0.500
3 B 0.246 0.246 0.246
4 B 0.754 0.754 0.754
5 H 0.084 0.084 0.518
6 H 0.084 0.518 0.084
7 H 0.298 0.298 0.298
8 H 0.482 0.916 0.916
9 H 0.518 0.084 0.084
10 H 0.702 0.702 0.702
11 H 0.916 0.482 0.916
12 H 0.916 0.916 0.482


No. 2
Entry from Alexandria: an optimized crystal structure of BaScB2H (PBE).

Computed properties:
Symmetry: P4/mmm

Unit cell a=4.770 b=4.770 c=5.974 alpha=90.00 beta=90.00 gamma=90.00
Sites, in units of the cell vectors:
1 Ba 0.000 0.000 0.000
2 Sc 0.000 0.000 0.500
3 B 0.000 0.500 0.000
4 B 0.500 0.000 0.000
5 H 0.500 0.500 0.500


No. 3
Entry from Alexandria: an optimized crystal structure of Ba2TcBH (PBE).

Computed properties:
Symmetry: P4/mmm

Unit cell a=5.537 b=5.537 c=3.720 alpha=90.00 beta=90.00 gamma=90.00
Sites, in units of the cell vectors:
1 Ba 0.000 0.500 0.000
2 Ba 0.500 0.000 0.000
3 Tc 0.000 0.000 0.500
4 B 0.500 0.500 0.500
5 H 0.000 0.000 0.000


No. 4
Entry from Alexandria: an optimized crystal structure of BaTiBH2 (PBE).

Computed properties:
Symmetry: P4/mmm

Unit cell a=4.228 b=4.228 c=4.313 alpha=90.00 beta=90.00 gamma=90.00
Sites, in units of the cell vectors:
1 Ba 0.000 0.000 0.000
2 Ti 0.500 0.500 0.500
3 B 0.500 0.500 0.000
4 H 0.000 0.500 0.500
5 H 0.500 0.000 0.500


Number 1: electronic total energy -0.14588 Ha/atom. Number 2: electronic total energy -0.08595 Ha/atom. Number 3: electronic total energy -0.14708 Ha/atom. Number 4: electronic total energy -0.16615 Ha/atom.